(1)
VASP calculation (PBE) on a geometry-optimized Pr3NdSb3 structure.

a b c (Å): 9.3749 9.3749 19.0947
angles (deg): 90.00 90.00 120.00
Space group R-3 (No. 148, hexagonal axes)
Asymmetric unit:
Pr: 0.0056 0.7351 0.0877 (multiplicity 18)
Nd: 0.0000 0.0000 0.3332 (multiplicity 6)
Sb: 0.0053 0.6207 0.9215 (multiplicity 18)

uncorrected formation energy: -0.96 eV/atom
relative energy among the computed polymorphs: 0.75 eV/f.u.
calculated volume: 1453 Å³/cell

=====

(2)
VASP calculation (PBE) on a geometry-optimized TaHgAs2 structure.

a b c (Å): 6.1886 6.1886 11.5327
angles (deg): 90.00 90.00 90.00
Space group I-42d (No. 122)
Asymmetric unit:
Ta: 0.0000 0.0000 0.0000 (multiplicity 4)
Hg: 0.0000 0.0000 0.5000 (multiplicity 4)
As: 0.2145 0.2500 0.1250 (multiplicity 8)

calculated volume: 442 Å³/cell
total DFT energy (no corrections): -5.135 eV per atom

=====

(3)
VASP calculation (PBE) on a geometry-optimized Cr2C structure.

a b c (Å): 5.7683 5.7683 2.8110
angles (deg): 90.00 90.00 120.00
Space group P-62m (No. 189)
Asymmetric unit:
Cr: 0.0000 0.2560 0.0000 (multiplicity 3)
Cr: 0.0000 0.5931 0.5000 (multiplicity 3)
C: 0.0000 0.0000 0.5000 (multiplicity 1)
C: 0.3333 0.6667 0.0000 (multiplicity 2)

calculated volume: 81 Å³/cell
total DFT energy (no corrections): -9.433 eV per atom

=====

(4)
VASP calculation (PBE) on a geometry-optimized K2MnSi structure.

a b c (Å): 5.2905 5.2905 7.4739
angles (deg): 90.00 90.00 90.00
Space group I-4m2 (No. 119)
Asymmetric unit:
K: 0.0000 0.0000 0.0000 (multiplicity 2)
K: 0.0000 0.5000 0.2500 (multiplicity 2)
Mn: 0.0000 0.5000 0.7500 (multiplicity 2)
Si: 0.0000 0.0000 0.5000 (multiplicity 2)

uncorrected formation energy: 0.62 eV/atom
relative energy among the computed polymorphs: 1.44 eV/f.u.
calculated volume: 209 Å³/cell

=====

(5)
VASP calculation (PBE) on a geometry-optimized Rb2CaSnSe4 structure.

a b c (Å): 8.6832 9.1630 12.5051
angles (deg): 90.00 90.00 90.00
Space group Imma (No. 74)
Asymmetric unit:
Rb: 0.0000 0.0000 0.0000 (multiplicity 4)
Rb: 0.2500 0.2500 0.2500 (multiplicity 4)
Ca: 0.0000 0.0000 0.5000 (multiplicity 4)
Sn: 0.2500 0.2500 0.7500 (multiplicity 4)
Se: 0.0000 0.0432 0.7397 (multiplicity 8)
Se: 0.2267 0.2500 0.5309 (multiplicity 8)

uncorrected formation energy: -1.04 eV/atom
calculated volume: 995 Å³/cell

=====

(6)
VASP calculation (PBE) on a geometry-optimized Pa2TaGe4Ir3 structure.

a b c (Å): 4.1213 4.1213 10.9121
angles (deg): 90.00 90.00 90.00
Space group P-4m2 (No. 115)
Asymmetric unit:
Pa: 0.0000 0.5000 0.2415 (multiplicity 2)
Ta: 0.0000 0.0000 0.5000 (multiplicity 1)
Ge: 0.0000 0.0000 0.0000 (multiplicity 1)
Ge: 0.0000 0.5000 0.6464 (multiplicity 2)
Ge: 0.5000 0.5000 0.0000 (multiplicity 1)
Ir: 0.0000 0.5000 0.8683 (multiplicity 2)
Ir: 0.5000 0.5000 0.5000 (multiplicity 1)

calculated volume: 185 Å³/cell
total DFT energy (no corrections): -8.137 eV per atom

=====

(7)
VASP calculation (PBE) on a geometry-optimized NaTlGa2Tc structure.

a b c (Å): 4.8849 4.8849 5.3068
angles (deg): 90.00 90.00 90.00
Space group P4/mmm (No. 123)
Asymmetric unit:
Na: 0.0000 0.0000 0.0000 (multiplicity 1)
Tl: 0.5000 0.5000 0.0000 (multiplicity 1)
Ga: 0.0000 0.5000 0.5000 (multiplicity 2)
Tc: 0.5000 0.5000 0.5000 (multiplicity 1)

calculated volume: 127 Å³/cell
total DFT energy (no corrections): -3.973 eV per atom

=====

(8)
VASP calculation (PBE) on a geometry-optimized Pr6NdSm2Er structure.

a b c (Å): 9.3568 15.4889 9.8489
angles (deg): 90.00 97.83 90.00
Space group C2/c (No. 15)
Asymmetric unit:
Pr: 0.0634 0.1818 0.4460 (multiplicity 8)
Pr: 0.0992 0.3935 0.6180 (multiplicity 8)
Pr: 0.2115 0.2211 0.8108 (multiplicity 8)
Nd: 0.0000 0.0226 0.7500 (multiplicity 4)
Sm: 0.2487 0.0492 0.0450 (multiplicity 8)
Er: 0.0000 0.4104 0.2500 (multiplicity 4)

calculated volume: 1414 Å³/cell
total DFT energy (no corrections): -4.634 eV per atom

=====

(9)
VASP calculation (PBE) on a geometry-optimized Zr5Be structure.

a b c (Å): 10.9257 3.2303 7.7590
angles (deg): 90.00 112.54 90.00
Space group Cm (No. 8)
Asymmetric unit:
Zr: 0.0000 0.0000 0.0000 (multiplicity 2)
Zr: 0.0360 0.0000 0.4452 (multiplicity 2)
Zr: 0.1738 0.5000 0.8084 (multiplicity 2)
Zr: 0.3108 0.0000 0.1722 (multiplicity 2)
Zr: 0.3498 0.0000 0.6229 (multiplicity 2)
Be: 0.1762 0.5000 0.3131 (multiplicity 2)

relative energy among the computed polymorphs: 0.26 eV/f.u.
calculated volume: 253 Å³/cell

=====

(10)
VASP calculation (PBE) on a geometry-optimized Ta3H12Ru5 structure.

a b c (Å): 10.8996 10.8996 10.8996
angles (deg): 90.00 90.00 90.00
Space group Ia-3d (No. 230)
Asymmetric unit:
Ta: 0.0000 0.2500 0.1250 (multiplicity 24)
H: 0.0194 0.0683 0.6495 (multiplicity 96)
Ru: 0.0000 0.0000 0.0000 (multiplicity 16)
Ru: 0.0000 0.2500 0.3750 (multiplicity 24)

calculated volume: 1295 Å³/cell
total DFT energy (no corrections): -5.997 eV per atom

=====

(11)
VASP calculation (PBE) on a geometry-optimized ErGa3Ir3 structure.

a b c (Å): 6.7379 6.7379 6.7379
angles (deg): 90.00 90.00 90.00
Space group Pm-3n (No. 223)
Asymmetric unit:
Er: 0.0000 0.0000 0.0000 (multiplicity 2)
Ga: 0.0000 0.2500 0.5000 (multiplicity 6)
Ir: 0.0000 0.5000 0.2500 (multiplicity 6)

calculated volume: 306 Å³/cell
total DFT energy (no corrections): -5.645 eV per atom

=====

(12)
VASP calculation (PBE) on a geometry-optimized SmMnCuGe2 structure.

a b c (Å): 4.1103 4.1103 10.6182
angles (deg): 90.00 90.00 90.00
Space group I-4m2 (No. 119)
Asymmetric unit:
Sm: 0.0000 0.0000 0.0000 (multiplicity 2)
Mn: 0.0000 0.5000 0.2500 (multiplicity 2)
Cu: 0.0000 0.5000 0.7500 (multiplicity 2)
Ge: 0.0000 0.0000 0.3800 (multiplicity 4)

calculated volume: 179 Å³/cell
total DFT energy (no corrections): -5.918 eV per atom

=====

(13)
VASP calculation (PBE) on a geometry-optimized Mg5CdAu4 structure.

a b c (Å): 3.3674 3.3674 16.4983
angles (deg): 90.00 90.00 90.00
Space group P4/mmm (No. 123)
Asymmetric unit:
Mg: 0.0000 0.0000 0.0000 (multiplicity 1)
Mg: 0.0000 0.0000 0.1926 (multiplicity 2)
Mg: 0.0000 0.0000 0.3830 (multiplicity 2)
Cd: 0.5000 0.5000 0.5000 (multiplicity 1)
Au: 0.5000 0.5000 0.0967 (multiplicity 2)
Au: 0.5000 0.5000 0.2911 (multiplicity 2)

calculated volume: 187 Å³/cell
total DFT energy (no corrections): -2.720 eV per atom

=====

(14)
VASP calculation (PBE) on a geometry-optimized AcCeI4 structure.

a b c (Å): 8.7923 19.0459 7.8109
angles (deg): 90.00 123.80 90.00
Space group C2/c (No. 15)
Asymmetric unit:
Ac: 0.0000 0.0585 0.2500 (multiplicity 4)
Ce: 0.0000 0.4459 0.7500 (multiplicity 4)
I: 0.2402 0.3211 0.7509 (multiplicity 8)
I: 0.2403 0.4245 0.2408 (multiplicity 8)

uncorrected formation energy: -1.22 eV/atom
calculated volume: 1087 Å³/cell

=====

(15)
VASP calculation (PBE) on a geometry-optimized NaCd4Rh structure.

a b c (Å): 7.9831 4.9507 6.1866
angles (deg): 90.00 95.97 90.00
Space group C2/m (No. 12)
Asymmetric unit:
Na: 0.0000 0.0000 0.0000 (multiplicity 2)
Cd: 0.1630 0.5000 0.6714 (multiplicity 4)
Cd: 0.1743 0.5000 0.2016 (multiplicity 4)
Rh: 0.0000 0.0000 0.5000 (multiplicity 2)

relative energy among the computed polymorphs: 0.46 eV/f.u.
calculated volume: 243 Å³/cell

=====

(16)
VASP calculation (PBE) on a geometry-optimized Rb3Dy2YS6 structure.

a b c (Å): 7.0692 12.2442 8.0427
angles (deg): 90.00 107.04 90.00
Space group C2/m (No. 12)
Asymmetric unit:
Rb: 0.0000 0.0000 0.0000 (multiplicity 2)
Rb: 0.0000 0.3334 0.0000 (multiplicity 4)
Dy: 0.0000 0.1667 0.5000 (multiplicity 4)
Y: 0.0000 0.5000 0.5000 (multiplicity 2)
S: 0.2302 0.0000 0.6920 (multiplicity 4)
S: 0.2309 0.3331 0.6920 (multiplicity 8)

uncorrected formation energy: -1.86 eV/atom
calculated volume: 666 Å³/cell

=====

(17)
VASP calculation (PBE) on a geometry-optimized In3Ir structure.

a b c (Å): 7.5398 8.4139 5.4103
angles (deg): 90.00 90.00 90.00
Space group Pnma (No. 62)
Asymmetric unit:
In: 0.0123 0.2500 0.0853 (multiplicity 4)
In: 0.1706 0.0543 0.6347 (multiplicity 8)
Ir: 0.1268 0.7500 0.4379 (multiplicity 4)

calculated volume: 343 Å³/cell
total DFT energy (no corrections): -4.433 eV per atom

=====

(18)
VASP calculation (PBE) on a geometry-optimized Fe2AuSeS structure.

a b c (Å): 4.9480 4.9480 4.8462
angles (deg): 90.00 90.00 90.00
Space group P4/mmm (No. 123)
Asymmetric unit:
Fe: 0.0000 0.5000 0.0000 (multiplicity 2)
Au: 0.0000 0.0000 0.0000 (multiplicity 1)
Se: 0.0000 0.0000 0.5000 (multiplicity 1)
S: 0.5000 0.5000 0.5000 (multiplicity 1)

uncorrected formation energy: 1.26 eV/atom
calculated volume: 119 Å³/cell

=====

(19)
VASP calculation (PBE) on a geometry-optimized PrPuPt2 structure.

a b c (Å): 4.1183 4.1183 20.9461
angles (deg): 90.00 90.00 120.00
Space group R3m (No. 160, hexagonal axes)
Asymmetric unit:
Pr: 0.0000 0.0000 0.0000 (multiplicity 3)
Pu: 0.0000 0.0000 0.8281 (multiplicity 3)
Pt: 0.0000 0.0000 0.2406 (multiplicity 3)
Pt: 0.0000 0.0000 0.4187 (multiplicity 3)

calculated volume: 308 Å³/cell
total DFT energy (no corrections): -8.600 eV per atom

=====

| no. | M_tot (μB/atom) |
| --- | --- |
| 1 | 0.00 |
| 2 | 0.00 |
| 3 | 0.00 |
| 4 | 1.25 |
| 5 | 0.00 |
| 6 | 0.00 |
| 7 | 0.00 |
| 8 | 0.00 |
| 9 | 0.00 |
| 10 | 0.00 |
| 11 | 0.00 |
| 12 | 0.67 |
| 13 | 0.00 |
| 14 | 0.31 |
| 15 | 0.00 |
| 16 | 0.00 |
| 17 | 0.00 |
| 18 | 1.46 |
| 19 | 1.32 |